DFT (PBE) results for crystalline SmHo3Hg2 at its relaxed geometry.

Results
ΔH_f (0 K): -0.31 eV per atom
Calculated volume: 167.4 Å³/cell
Magnetic moment: 0.00 Bohr magnetons per cell
DOS(E_F): 1.0624 states/eV per atom

extended XYZ file:
```
6
Lattice="3.678 0.000 0.000 0.000 3.678 0.000 0.000 0.000 12.375" Properties=species:S:1:pos:R:3 pbc="T T T"
Sm 0.000 0.000 0.000
Ho 1.839 1.839 2.467
Ho 1.839 1.839 6.188
Ho 1.839 1.839 9.909
Hg 0.000 0.000 4.312
Hg 0.000 0.000 8.063
```